# 1
Density functional theory data (PBE) for an optimized crystal structure of Sm2VS5.

The space group is Cm (No. 8) and the conventional cell measures 10.003, 9.450 and 4.511 Å, with angles of 90.00, 116.80 and 90.00 degrees. The inequivalent atoms are Sm at (0.000, 0.207, 0.000), V at (0.227, 0.000, 0.726), S at (0.189, 0.258, 0.689), S at (0.224, 0.000, 0.223), S at (0.439, 0.500, 0.439) and S at (0.483, 0.000, 0.984).

Its spin magnetization is 0.13 μB per atom. Its uncorrected formation energy is -1.47 eV per atom.

---

# 2
Density functional theory data (PBE) for an optimized crystal structure of Sm4Y3S8.

The space group is C2/m (No. 12) and the conventional cell measures 11.196, 11.201 and 7.910 Å, with angles of 90.00, 134.91 and 90.00 degrees. The inequivalent atoms are Sm at (0.000, 0.000, 0.000), Sm at (0.000, 0.500, 0.500), Sm at (0.250, 0.250, 0.000), Y at (0.000, 0.500, 0.000), Y at (0.250, 0.250, 0.500), S at (0.000, 0.248, 0.500), S at (0.000, 0.253, 0.000), S at (0.249, 0.500, 0.005) and S at (0.250, 0.000, 0.505).

Its spin magnetization is 0.00 μB per atom. Its uncorrected formation energy is -2.04 eV per atom.

---

# 3
Density functional theory data (PBE) for an optimized crystal structure of Sm4YS6.

The space group is Cmcm (No. 63) and the conventional cell measures 3.893, 13.196 and 20.208 Å, with angles of 90.00, 90.00 and 90.00 degrees. The inequivalent atoms are Sm at (0.000, 0.090, 0.129), Sm at (0.000, 0.360, 0.040), Y at (0.000, 0.153, 0.750), S at (0.000, 0.000, 0.000), S at (0.000, 0.198, 0.250), S at (0.000, 0.271, 0.590) and S at (0.000, 0.446, 0.169).

Its spin magnetization is 0.00 μB per atom. Its uncorrected formation energy is -2.03 eV per atom.

---

# 4
Density functional theory data (PBE) for an optimized crystal structure of SmY3S.

The space group is Pm-3m (No. 221) and the conventional cell measures 5.334, 5.334 and 5.334 Å, with angles of 90.00, 90.00 and 90.00 degrees. The inequivalent atoms are Sm at (0.000, 0.000, 0.000), Y at (0.000, 0.500, 0.500) and S at (0.500, 0.500, 0.500).

Its spin magnetization is 0.09 μB per atom. Its uncorrected formation energy is -0.66 eV per atom.

---

Copy entry 3 word for word.
Density functional theory data (PBE) for an optimized crystal structure of Sm4YS6.

The space group is Cmcm (No. 63) and the conventional cell measures 3.893, 13.196 and 20.208 Å, with angles of 90.00, 90.00 and 90.00 degrees. The inequivalent atoms are Sm at (0.000, 0.090, 0.129), Sm at (0.000, 0.360, 0.040), Y at (0.000, 0.153, 0.750), S at (0.000, 0.000, 0.000), S at (0.000, 0.198, 0.250), S at (0.000, 0.271, 0.590) and S at (0.000, 0.446, 0.169).

Its spin magnetization is 0.00 μB per atom. Its uncorrected formation energy is -2.03 eV per atom.

---

Q: What is the spin magnetization in the second record?
A: 0.00 μB per atom

---

Copy entry 4 word for word.
Density functional theory data (PBE) for an optimized crystal structure of SmY3S.

The space group is Pm-3m (No. 221) and the conventional cell measures 5.334, 5.334 and 5.334 Å, with angles of 90.00, 90.00 and 90.00 degrees. The inequivalent atoms are Sm at (0.000, 0.000, 0.000), Y at (0.000, 0.500, 0.500) and S at (0.500, 0.500, 0.500).

Its spin magnetization is 0.09 μB per atom. Its uncorrected formation energy is -0.66 eV per atom.

---

Q: What is the uncorrected formation energy in the first record?
A: -1.47 eV per atom